Entry 1:
# NbNi3Se GGA-PBE relaxed
data_NbNi3Se
_symmetry_space_group_name_H-M 'P 1'
_symmetry_Int_Tables_number 1
_cell_length_a 4.5678
_cell_length_b 4.5678
_cell_length_c 4.5678
_cell_angle_alpha 90.00
_cell_angle_beta 90.00
_cell_angle_gamma 90.00
loop_
_symmetry_equiv_pos_as_xyz
'x,y,z'
loop_
_atom_site_label
_atom_site_type_symbol
_atom_site_fract_x
_atom_site_fract_y
_atom_site_fract_z
Ni1 Ni 0.0000 0.5000 0.0000
Ni2 Ni 0.0000 0.0000 0.5000
Ni3 Ni 0.5000 0.0000 0.0000
Nb1 Nb 0.0000 0.0000 0.0000
Se1 Se 0.5000 0.5000 0.5000
# E_tot: -4.859 eV per atom
# calculated volume: 95.3 Å³ per cell
# uncorrected formation energy: 1321 meV per atom
# energy above the most stable polymorph in this dataset: 760 meV per atom
# magnetic moment: 0.00 μB/f.u.
# space group: Pm-3m



Entry 2:
# Nb2Ni2Se7 GGA-PBE relaxed
data_Nb2Ni2Se7
_symmetry_space_group_name_H-M 'P 1'
_symmetry_Int_Tables_number 1
_cell_length_a 6.2592
_cell_length_b 6.6243
_cell_length_c 6.6243
_cell_angle_alpha 114.20
_cell_angle_beta 94.45
_cell_angle_gamma 94.45
loop_
_symmetry_equiv_pos_as_xyz
'x,y,z'
loop_
_atom_site_label
_atom_site_type_symbol
_atom_site_fract_x
_atom_site_fract_y
_atom_site_fract_z
Nb1 Nb 0.5000 0.3524 0.6476
Nb2 Nb 0.5000 0.6476 0.3524
Ni1 Ni 0.1917 0.7352 0.7352
Ni2 Ni 0.8083 0.2648 0.2648
Se1 Se 0.2602 0.5400 0.9544
Se2 Se 0.7398 0.0456 0.4600
Se3 Se 0.7398 0.4600 0.0456
Se4 Se 0.2602 0.9544 0.5400
Se5 Se 0.2020 0.3779 0.3779
Se6 Se 0.0000 0.0000 0.0000
Se7 Se 0.7980 0.6221 0.6221
# E_tot: -5.439 eV per atom
# calculated volume: 248.0 Å³ per cell
# uncorrected formation energy: -339 meV per atom
# magnetic moment: 0.00 μB/f.u.
# space group: C2/m